Here is a relaxed TlPb2Cl2 crystal from Alexandria via LeMat-Bulk. Energies are from PBE-GGA.

Summary:
DFT total energy ... -3.16 eV/atom
Formation energy without anion corrections ... -226 kJ/mol of formula units

Cell and atoms, written as POSCAR:
```
TlPb2Cl2
1.0
8.7334 2.4033 -0.2665
6.4422 3.2373 5.4897
-6.7615 -5.7395 -1.8598
Cl Pb Tl
2 2 1
Direct
0.3981 0.3981 0.0000 Cl
0.6019 0.6019 0.0000 Cl
0.2500 0.7500 0.5000 Pb
0.7500 0.2500 0.5000 Pb
0.0000 0.0000 0.0000 Tl
```



Here is a relaxed Tl5Pb3Cl12 crystal from Alexandria via LeMat-Bulk. Energies are from PBE-GGA.

Summary:
DFT total energy ... -3.29 eV/atom
Formation energy without anion corrections ... -1987 kJ/mol of formula units
Distance to the lowest polymorph of the same formula ... 0.000 eV per atom

Cell and atoms, written as POSCAR:
```
Tl5Pb3Cl12
1.0
-0.4375 4.3790 0.0202
-7.6441 -0.8132 10.7147
13.0584 1.2988 1.2998
Tl Pb Cl
5 3 12
Direct
0.0000 0.2919 0.0000 Tl
0.0000 0.0000 0.2919 Tl
0.0000 0.7081 0.7081 Tl
0.0000 0.3333 0.6667 Tl
0.0000 0.6667 0.3333 Tl
0.5000 0.3293 0.3293 Pb
0.5000 0.0000 0.6707 Pb
0.5000 0.6707 0.0000 Pb
0.0000 0.5295 0.0000 Cl
0.5000 0.5498 0.7502 Cl
0.0000 0.8137 0.0000 Cl
0.5000 0.2498 0.7996 Cl
0.5000 0.7996 0.2498 Cl
0.5000 0.4502 0.2004 Cl
0.0000 0.4705 0.4705 Cl
0.0000 0.0000 0.8137 Cl
0.0000 0.0000 0.5295 Cl
0.5000 0.2004 0.4502 Cl
0.5000 0.7502 0.5498 Cl
0.0000 0.1863 0.1863 Cl
```



Here is a relaxed Tl6PbCl8 crystal from Alexandria via LeMat-Bulk. Energies are from PBE-GGA.

Summary:
DFT total energy ... -3.21 eV/atom
Formation energy without anion corrections ... -1491 kJ/mol of formula units

Cell and atoms, written as POSCAR:
```
Tl6PbCl8
1.0
7.9789 0.2086 2.7092
2.0058 7.7255 2.7092
0.2625 0.2086 8.4222
Tl Cl Pb
6 8 1
Direct
0.0547 0.4877 0.6986 Tl
0.9453 0.5123 0.3014 Tl
0.3014 0.9453 0.5123 Tl
0.5123 0.3014 0.9453 Tl
0.4877 0.6986 0.0547 Tl
0.6986 0.0547 0.4877 Tl
0.6668 0.9096 0.1666 Cl
0.3332 0.0904 0.8334 Cl
0.9096 0.1666 0.6668 Cl
0.3271 0.3271 0.3271 Cl
0.6729 0.6729 0.6729 Cl
0.8334 0.3332 0.0904 Cl
0.0904 0.8334 0.3332 Cl
0.1666 0.6668 0.9096 Cl
0.0000 0.0000 0.0000 Pb
```



Here is a relaxed TlPb5Cl11 crystal from Alexandria via LeMat-Bulk. Energies are from PBE-GGA.

Summary:
DFT total energy ... -3.51 eV/atom
Formation energy without anion corrections ... -1784 kJ/mol of formula units

Cell and atoms, written as POSCAR:
```
TlPb5Cl11
1.0
7.4308 0.8620 -1.8281
-3.2894 7.9421 -1.4539
0.1208 0.1147 8.7168
Cl Pb Tl
11 5 1
Direct
0.7022 0.1298 0.6870 Cl
0.3660 0.6797 0.6797 Cl
0.7022 0.6870 0.1298 Cl
0.9229 0.8196 0.5648 Cl
0.0771 0.1804 0.4352 Cl
0.6340 0.3203 0.3203 Cl
0.2978 0.8702 0.3130 Cl
0.9229 0.5648 0.8196 Cl
0.0771 0.4352 0.1804 Cl
0.5000 0.0000 0.0000 Cl
0.2978 0.3130 0.8702 Cl
0.3020 0.9942 0.6347 Pb
0.6980 0.0058 0.3653 Pb
0.6980 0.3653 0.0058 Pb
0.0000 0.5000 0.5000 Pb
0.3020 0.6347 0.9942 Pb
0.0000 0.0000 0.0000 Tl
```



Here is a relaxed Tl3PbCl6 crystal from Alexandria via LeMat-Bulk. Energies are from PBE-GGA.

Summary:
DFT total energy ... -3.16 eV/atom
Formation energy without anion corrections ... -935 kJ/mol of formula units
Distance to the lowest polymorph of the same formula ... 0.000 eV per atom

Cell and atoms, written as POSCAR:
```
Tl3PbCl6
1.0
7.5098 0.0000 -0.0175
0.0000 7.9841 0.0000
0.0778 0.0000 10.9269
Cl Tl Pb
12 6 2
Direct
0.1909 0.3007 0.0565 Cl
0.3091 0.8007 0.4435 Cl
0.8091 0.6993 0.9435 Cl
0.6909 0.1993 0.5565 Cl
0.8868 0.9643 0.2492 Cl
0.1925 0.3040 0.4430 Cl
0.8075 0.6960 0.5570 Cl
0.1132 0.0357 0.7508 Cl
0.6132 0.4643 0.2508 Cl
0.6925 0.1960 0.9430 Cl
0.3075 0.8040 0.0570 Cl
0.3868 0.5357 0.7492 Cl
0.0000 0.0000 0.5000 Tl
0.0254 0.5730 0.2505 Tl
0.5000 0.5000 0.0000 Tl
0.5254 0.9270 0.7505 Tl
0.4746 0.0730 0.2495 Tl
0.9746 0.4270 0.7495 Tl
0.0000 0.0000 0.0000 Pb
0.5000 0.5000 0.5000 Pb
```



Here is a relaxed Tl5Pb3Cl12 crystal from Alexandria via LeMat-Bulk. Energies are from PBE-GGA.

Summary:
DFT total energy ... -3.16 eV/atom
Formation energy without anion corrections ... -1746 kJ/mol of formula units
Distance to the lowest polymorph of the same formula ... 0.125 eV per atom

Cell and atoms, written as POSCAR:
```
Tl5Pb3Cl12
1.0
15.2964 0.0000 0.0000
-5.0988 14.4215 0.0000
-5.0988 -7.2108 12.4894
Cl Pb Tl
48 12 20
Direct
0.3323 0.5653 0.4336 Cl
0.7670 0.4347 0.3682 Cl
0.8323 0.8987 0.2670 Cl
0.5664 0.6318 0.3987 Cl
0.6318 0.0653 0.2330 Cl
0.9336 0.8323 0.5653 Cl
0.8682 0.2670 0.4347 Cl
0.8682 0.6013 0.9336 Cl
0.4347 0.7670 0.8682 Cl
0.7670 0.3323 0.8987 Cl
0.3682 0.4336 0.1013 Cl
0.3682 0.9347 0.7670 Cl
0.0653 0.6318 0.7330 Cl
0.1677 0.1013 0.7330 Cl
0.6013 0.8682 0.4336 Cl
0.9347 0.5664 0.1677 Cl
0.4336 0.0653 0.3323 Cl
0.2670 0.8682 0.9347 Cl
0.3987 0.2670 0.3323 Cl
0.0653 0.4336 0.8323 Cl
0.4347 0.6677 0.0664 Cl
0.5653 0.2330 0.1318 Cl
0.7330 0.1318 0.0653 Cl
0.5653 0.3323 0.9336 Cl
0.2670 0.3987 0.8323 Cl
0.2330 0.5653 0.6318 Cl
0.8987 0.8323 0.7670 Cl
0.2330 0.6677 0.1013 Cl
0.6013 0.7330 0.6677 Cl
0.7330 0.6013 0.1677 Cl
0.4336 0.3682 0.6013 Cl
0.1013 0.9336 0.3682 Cl
0.8323 0.9336 0.0653 Cl
0.3987 0.1318 0.5664 Cl
0.1318 0.3987 0.0664 Cl
0.9336 0.1013 0.8682 Cl
0.5664 0.9347 0.6677 Cl
0.3323 0.7670 0.3987 Cl
0.1013 0.1677 0.2330 Cl
0.6677 0.4347 0.5664 Cl
0.8987 0.0664 0.6318 Cl
0.6318 0.5664 0.8987 Cl
0.0664 0.1677 0.4347 Cl
0.1318 0.7330 0.5653 Cl
0.1677 0.0664 0.9347 Cl
0.9347 0.3682 0.2670 Cl
0.0664 0.8987 0.1318 Cl
0.6677 0.2330 0.6013 Cl
0.3750 0.6250 0.2500 Pb
0.8750 0.7500 0.1250 Pb
0.6250 0.3750 0.7500 Pb
0.1250 0.8750 0.7500 Pb
0.1250 0.2500 0.8750 Pb
0.7500 0.3750 0.1250 Pb
0.2500 0.6250 0.8750 Pb
0.7500 0.8750 0.6250 Pb
0.2500 0.1250 0.3750 Pb
0.8750 0.1250 0.2500 Pb
0.6250 0.2500 0.3750 Pb
0.3750 0.7500 0.6250 Pb
0.5000 0.5000 0.0000 Tl
0.1250 0.7500 0.3750 Tl
0.0000 0.0000 0.5000 Tl
0.0000 0.5000 0.0000 Tl
0.1250 0.3750 0.2500 Tl
0.8750 0.6250 0.7500 Tl
0.3750 0.2500 0.1250 Tl
0.0000 0.5000 0.5000 Tl
0.0000 0.0000 0.0000 Tl
0.5000 0.5000 0.5000 Tl
0.2500 0.8750 0.1250 Tl
0.5000 0.0000 0.0000 Tl
0.7500 0.6250 0.3750 Tl
0.6250 0.7500 0.8750 Tl
0.8750 0.2500 0.6250 Tl
0.7500 0.1250 0.8750 Tl
0.3750 0.1250 0.7500 Tl
0.6250 0.8750 0.2500 Tl
0.2500 0.3750 0.6250 Tl
0.5000 0.0000 0.5000 Tl
```



Here is a relaxed TlPb2Cl6 crystal from Alexandria via LeMat-Bulk. Energies are from PBE-GGA.

Summary:
DFT total energy ... -3.30 eV/atom
Formation energy without anion corrections ... -855 kJ/mol of formula units

Cell and atoms, written as POSCAR:
```
TlPb2Cl6
1.0
6.7865 0.0000 0.0000
0.0000 6.7865 0.0000
0.0000 0.0000 13.1754
Cl Pb Tl
12 4 2
Direct
0.6989 0.6989 0.3354 Cl
0.3011 0.3011 0.3354 Cl
0.3004 0.3004 0.0000 Cl
0.1989 0.8011 0.1646 Cl
0.8011 0.1989 0.1646 Cl
0.6989 0.6989 0.6646 Cl
0.8011 0.1989 0.8354 Cl
0.3011 0.3011 0.6646 Cl
0.1989 0.8011 0.8354 Cl
0.8004 0.1996 0.5000 Cl
0.1996 0.8004 0.5000 Cl
0.6996 0.6996 0.0000 Cl
0.5000 0.5000 0.8334 Pb
0.0000 0.0000 0.3334 Pb
0.5000 0.5000 0.1666 Pb
0.0000 0.0000 0.6666 Pb
0.5000 0.5000 0.5000 Tl
0.0000 0.0000 0.0000 Tl
```



Here is a relaxed Tl2Pb2Cl5 crystal from Alexandria via LeMat-Bulk. Energies are from PBE-GGA.

Summary:
DFT total energy ... -3.32 eV/atom
Formation energy without anion corrections ... -819 kJ/mol of formula units

Cell and atoms, written as POSCAR:
```
Tl2Pb2Cl5
1.0
7.6390 0.0000 0.0000
0.0000 7.5402 0.0000
-3.8195 -3.7701 10.7863
Tl Cl Pb
4 10 4
Direct
0.9151 0.4262 0.7038 Tl
0.0849 0.7224 0.2961 Tl
0.7113 0.2224 0.2961 Tl
0.2887 0.9262 0.7039 Tl
0.7684 0.8328 0.1063 Cl
0.2316 0.7266 0.8937 Cl
0.9049 0.6640 0.5000 Cl
0.7098 0.7912 0.7699 Cl
0.4398 0.5213 0.2301 Cl
0.0951 0.1640 0.5000 Cl
0.5602 0.2912 0.7699 Cl
0.8379 0.3328 0.1063 Cl
0.1621 0.2266 0.8937 Cl
0.2902 0.0213 0.2301 Cl
0.5522 0.6471 0.5000 Pb
0.4478 0.1471 0.5000 Pb
0.5000 0.5045 0.0000 Pb
0.0000 0.0045 0.0000 Pb
```